1.
# Tb2Cd3Ag | Alexandria | GGA-PBE | relaxed
data_Tb2Cd3Ag
_chemical_formula_sum 'Tb2 Cd3 Ag1'
_cell_length_a 3.368
_cell_length_b 4.962
_cell_length_c 8.590
_cell_angle_alpha 90.00
_cell_angle_beta 90.00
_cell_angle_gamma 90.00
_space_group_name_H-M_alt 'P 1'
_space_group_IT_number 1
loop_
_space_group_symop_operation_xyz
'x,y,z'
loop_
_atom_site_label
_atom_site_type_symbol
_atom_site_fract_x
_atom_site_fract_y
_atom_site_fract_z
Tb1 Tb 0.000 0.000 0.000
Tb2 Tb 0.000 0.500 0.481
Cd1 Cd 0.500 0.000 0.655
Cd2 Cd 0.500 0.500 0.158
Cd3 Cd 0.500 0.500 0.822
Ag1 Ag 0.500 0.000 0.324
# - Crystal system: orthorhombic
# - Fermi-level density of states: 3.841 states/eV/cell
# - E_form: -309 meV per atom
# - Calculated volume: 23.926 Å³/atom
# - Total moment: 0.0 μB per formula unit



2.
# ZrNbW14 | Alexandria | GGA-PBE | relaxed
data_ZrNbW14
_chemical_formula_sum 'Zr1 Nb1 W14'
_cell_length_a 5.555
_cell_length_b 5.555
_cell_length_c 9.096
_cell_angle_alpha 90.00
_cell_angle_beta 90.00
_cell_angle_gamma 109.61
_space_group_name_H-M_alt 'P 1'
_space_group_IT_number 1
loop_
_space_group_symop_operation_xyz
'x,y,z'
loop_
_atom_site_label
_atom_site_type_symbol
_atom_site_fract_x
_atom_site_fract_y
_atom_site_fract_z
Zr1 Zr 0.000 0.000 0.000
Nb1 Nb 0.500 0.500 0.000
W1 W 0.000 0.000 0.500
W2 W 0.000 0.500 0.000
W3 W 0.000 0.500 0.500
W4 W 0.250 0.750 0.252
W5 W 0.250 0.750 0.748
W6 W 0.252 0.252 0.257
W7 W 0.252 0.252 0.743
W8 W 0.500 0.000 0.000
W9 W 0.500 0.000 0.500
W10 W 0.500 0.500 0.500
W11 W 0.748 0.748 0.257
W12 W 0.748 0.748 0.743
W13 W 0.750 0.250 0.252
W14 W 0.750 0.250 0.748
# - Crystal system: orthorhombic
# - Fermi-level density of states: 4.573 states/eV/cell
# - E_form: -14 meV per atom
# - Calculated volume: 16.522 Å³/atom
# - Total moment: 0.0 μB per formula unit



3.
# YPuAg2 | Alexandria | GGA-PBE | relaxed
data_YPuAg2
_chemical_formula_sum 'Y1 Pu1 Ag2'
_cell_length_a 3.563
_cell_length_b 3.563
_cell_length_c 7.689
_cell_angle_alpha 90.00
_cell_angle_beta 90.00
_cell_angle_gamma 90.00
_space_group_name_H-M_alt 'P 1'
_space_group_IT_number 1
loop_
_space_group_symop_operation_xyz
'x,y,z'
loop_
_atom_site_label
_atom_site_type_symbol
_atom_site_fract_x
_atom_site_fract_y
_atom_site_fract_z
Y1 Y 0.000 0.000 0.000
Pu1 Pu 0.000 0.000 0.500
Ag1 Ag 0.500 0.500 0.235
Ag2 Ag 0.500 0.500 0.765
# - Crystal system: tetragonal
# - Fermi-level density of states: 10.087 states/eV/cell
# - E_form: -101 meV per atom
# - Calculated volume: 24.403 Å³/atom
# - Total moment: 5.8 μB per formula unit



4.
# SrNi3Br | Alexandria | GGA-PBE | relaxed
data_SrNi3Br
_chemical_formula_sum 'Sr1 Ni3 Br1'
_cell_length_a 5.014
_cell_length_b 5.014
_cell_length_c 5.014
_cell_angle_alpha 90.00
_cell_angle_beta 90.00
_cell_angle_gamma 90.00
_space_group_name_H-M_alt 'P 1'
_space_group_IT_number 1
loop_
_space_group_symop_operation_xyz
'x,y,z'
loop_
_atom_site_label
_atom_site_type_symbol
_atom_site_fract_x
_atom_site_fract_y
_atom_site_fract_z
Sr1 Sr 0.000 0.000 0.000
Ni1 Ni 0.000 0.000 0.500
Ni2 Ni 0.000 0.500 0.000
Ni3 Ni 0.500 0.000 0.000
Br1 Br 0.500 0.500 0.500
# - Formation energy from raw total energies: 1662 meV/atom
# - Crystal system: cubic
# - Fermi-level density of states: 10.739 states/eV/cell
# - Calculated volume: 25.213 Å³/atom
# - Total moment: 1.0 μB per formula unit



5.
# SmB2H6 | Alexandria | GGA-PBE | relaxed
data_SmB2H6
_chemical_formula_sum 'Sm1 B2 H6'
_cell_length_a 4.607
_cell_length_b 4.607
_cell_length_c 4.607
_cell_angle_alpha 60.00
_cell_angle_beta 60.00
_cell_angle_gamma 60.00
_space_group_name_H-M_alt 'P 1'
_space_group_IT_number 1
loop_
_space_group_symop_operation_xyz
'x,y,z'
loop_
_atom_site_label
_atom_site_type_symbol
_atom_site_fract_x
_atom_site_fract_y
_atom_site_fract_z
Sm1 Sm 0.000 0.000 0.000
B1 B 0.250 0.250 0.250
B2 B 0.750 0.750 0.750
H1 H 0.360 0.360 0.640
H2 H 0.360 0.640 0.360
H3 H 0.360 0.640 0.640
H4 H 0.640 0.360 0.360
H5 H 0.640 0.360 0.640
H6 H 0.640 0.640 0.360
# - Crystal system: cubic
# - Fermi-level density of states: 2.912 states/eV/cell
# - Calculated volume: 7.682 Å³/atom
# - VASP energy: -2.98 eV/atom
# - Total moment: 0.0 μB per formula unit



6.
# Ga2GeTe4 | Alexandria | GGA-PBE | relaxed
data_Ga2GeTe4
_chemical_formula_sum 'Ga4 Ge2 Te8'
_cell_length_a 6.034
_cell_length_b 6.034
_cell_length_c 13.178
_cell_angle_alpha 90.00
_cell_angle_beta 90.00
_cell_angle_gamma 90.00
_space_group_name_H-M_alt 'P 1'
_space_group_IT_number 1
loop_
_space_group_symop_operation_xyz
'x,y,z'
loop_
_atom_site_label
_atom_site_type_symbol
_atom_site_fract_x
_atom_site_fract_y
_atom_site_fract_z
Ga1 Ga 0.000 0.500 0.250
Ga2 Ga 0.000 0.500 0.750
Ga3 Ga 0.500 0.000 0.250
Ga4 Ga 0.500 0.000 0.750
Ge1 Ge 0.000 0.000 0.000
Ge2 Ge 0.500 0.500 0.500
Te1 Te 0.219 0.219 0.627
Te2 Te 0.219 0.781 0.373
Te3 Te 0.281 0.281 0.127
Te4 Te 0.281 0.719 0.873
Te5 Te 0.719 0.281 0.873
Te6 Te 0.719 0.719 0.127
Te7 Te 0.781 0.219 0.373
Te8 Te 0.781 0.781 0.627
# - Formation energy from raw total energies: -168 meV/atom
# - Crystal system: tetragonal
# - Fermi-level density of states: 2.647 states/eV/cell
# - Calculated volume: 34.272 Å³/atom
# - Total moment: 0.0 μB per formula unit